[1]
Material: Pm5Pt4Au
Method: DFT, GGA-PBE
State: relaxed

Values from the calculation:
Fermi-level density of states: 6.2 states/eV per cell
Space-group type: No. 123
DFT formation energy: -1.02 eV per atom

abc: 3.5999 3.5999 18.1039
angles: 90.00 90.00 90.00
Sites, in units of the cell vectors:
Pm  0.5000  0.5000  0.8937
Pm  0.5000  0.5000  0.1063
Pm  0.5000  0.5000  0.5000
Pm  0.5000  0.5000  0.3028
Pm  0.5000  0.5000  0.6972
Pt  0.0000  0.0000  0.4013
Pt  0.0000  0.0000  0.5987
Pt  0.0000  0.0000  0.2022
Pt  0.0000  0.0000  0.7978
Au  0.0000  0.0000  0.0000

=====

[2]
Material: Pm3PtAu4
Method: DFT, GGA-PBE
State: relaxed

Values from the calculation:
Fermi-level density of states: 7.1 states/eV per cell
Space-group type: No. 12
DFT formation energy: -0.39 eV per atom

abc: 4.0172 4.0452 14.0244
angles: 115.66 98.23 90.00
Sites, in units of the cell vectors:
Pt  0.5000  0.0000  0.0000
Pm  0.0000  0.5000  0.0000
Pm  0.8039  0.9108  0.6079
Pm  0.1961  0.0892  0.3921
Au  0.3990  0.1908  0.7980
Au  0.1009  0.3078  0.2018
Au  0.8991  0.6922  0.7982
Au  0.6010  0.8092  0.2020